# FeSiAs2 (GGA-PBE, optimized geometry)
# - DOS(E_F) (states/eV per atom) = 1.123
# - V (Å³/f.u.) = 68
# - total energy (eV/atom) = -5.4681
data_FeSiAs2
_chemical_formula_sum 'Fe2 Si2 As4'
_cell_length_a 5.295
_cell_length_b 7.168
_cell_length_c 4.324
_cell_angle_alpha 90.00
_cell_angle_beta 124.33
_cell_angle_gamma 90.00
_symmetry_space_group_name_H-M 'C 1 2/m 1'
_symmetry_Int_Tables_number 12
loop_
_symmetry_equiv_pos_as_xyz
'x,y,z'
'-x,-y,-z'
'-x,y,-z'
'x,-y,z'
'x+1/2,y+1/2,z'
'-x+1/2,-y+1/2,-z'
'-x+1/2,y+1/2,-z'
'x+1/2,-y+1/2,z'
loop_
_atom_site_label
_atom_site_type_symbol
_atom_site_fract_x
_atom_site_fract_y
_atom_site_fract_z
_atom_site_occupancy
Fe1 Fe 0.000 0.000 0.000 1
Si1 Si 0.000 0.500 0.000 1
As1 As 0.250 0.250 0.500 1